Density functional theory data (PBE) for TaBe2Al after structural relaxation.

Energy relative to the elements: 323 meV per atom
Total magnetic moment: 0.73 μB per cell
Crystal system: trigonal
DFT total energy: -5.439 eV/atom
D(E_F): 12.71 states/eV per cell

```
data_TaBe2Al
_chemical_formula_sum 'Ta3 Be6 Al3'
_cell_length_a 2.7651
_cell_length_b 2.7651
_cell_length_c 25.1349
_cell_angle_alpha 90.00
_cell_angle_beta 90.00
_cell_angle_gamma 120.00
_space_group_name_H-M_alt 'R -3 m'
_space_group_IT_number 166
_space_group_name_Hall '-R 3 2"'
loop_
_atom_site_label
_atom_site_fract_x
_atom_site_fract_y
_atom_site_fract_z
_atom_site_occupancy
Ta1 0.0000 0.0000 0.0000 1
Be1 0.0000 0.0000 0.2468 1
Al1 0.0000 0.0000 0.5000 1
```